Record 1
{
  "formula": "Ta2FeCu",
  "functional": "PBE-GGA",
  "state": "optimized geometry",
  "e_above_lowest_polymorph_ev_per_atom": 0.000,
  "formation_enthalpy_0k_ev_per_fu": 0.1,
  "magnetic_moment_mub_per_fu": 1.00,
  "lattice": [[3.0873, 0.0000, 0.0000], [0.0000, 3.0873, 0.0000], [0.0000, 0.0000, 6.2338]],
  "species": ["Ta", "Ta", "Fe", "Cu"],
  "frac_coords": [[0.0000, 0.0000, 0.2416], [0.0000, 0.0000, 0.7584], [0.5000, 0.5000, 0.0000], [0.5000, 0.5000, 0.5000]]
}

Record 2
{
  "formula": "Na3PrSe4O12",
  "functional": "PBE-GGA",
  "state": "optimized geometry",
  "formation_energy_uncorrected_mev_per_atom": -1041,
  "magnetic_moment_mub_per_fu": 0.00,
  "lattice": [[5.7464, 3.3177, 2.7391], [-5.7464, 3.3177, 2.7391], [0.0000, -6.6354, 2.7391]],
  "species": ["Na", "Na", "Na", "Pr", "Se", "Se", "Se", "Se", "O", "O", "O", "O", "O", "O", "O", "O", "O", "O", "O", "O"],
  "frac_coords": [[0.0000, 0.5633, 0.4367], [0.4367, 0.0000, 0.5633], [0.5633, 0.4367, 0.0000], [0.0000, 0.0000, 0.0000], [0.0799, 0.5000, 0.9201], [0.5000, 0.5000, 0.5000], [0.5000, 0.9201, 0.0799], [0.9201, 0.0799, 0.5000], [0.0141, 0.2119, 0.3387], [0.0663, 0.9337, 0.5000], [0.2119, 0.3387, 0.0141], [0.3387, 0.0141, 0.2119], [0.3574, 0.6426, 0.5000], [0.5000, 0.0663, 0.9337], [0.5000, 0.3574, 0.6426], [0.6426, 0.5000, 0.3574], [0.6613, 0.7881, 0.9859], [0.7881, 0.9859, 0.6613], [0.9337, 0.5000, 0.0663], [0.9859, 0.6613, 0.7881]]
}

Record 3
{
  "formula": "Sc2TaAg",
  "functional": "PBE-GGA",
  "state": "optimized geometry",
  "e_above_lowest_polymorph_ev_per_atom": 0.162,
  "formation_enthalpy_0k_ev_per_fu": 0.4,
  "magnetic_moment_mub_per_fu": 0.00,
  "lattice": [[5.0912, 0.0000, 0.0000], [0.0000, 5.0912, 0.0000], [0.0000, 0.0000, 3.1105]],
  "species": ["Sc", "Sc", "Ta", "Ag"],
  "frac_coords": [[0.0000, 0.5000, 0.0000], [0.5000, 0.0000, 0.0000], [0.0000, 0.0000, 0.5000], [0.5000, 0.5000, 0.5000]]
}